Entry 1:
Entry from Alexandria via LeMat-Bulk: crystalline GdMgZnNi at its relaxed geometry (PBE-GGA).

Results
Formation energy, eV per atom: -0.245
DOS(E_F), states/eV per cell: 3.7

Unit cell a=4.7412 b=4.7412 c=4.7412 alpha=60.00 beta=60.00 gamma=60.00
Sites, in units of the cell vectors:
Gd: 0.0000 0.0000 0.0000
Mg: 0.5000 0.5000 0.5000
Zn: 0.2500 0.2500 0.2500
Ni: 0.7500 0.7500 0.7500


Entry 2:
Entry from Alexandria via LeMat-Bulk: crystalline Ho5MgPd6 at its relaxed geometry (PBE-GGA).

Results
Formation energy, eV per atom: -0.874
DOS(E_F), states/eV per cell: 6.1

Unit cell a=8.4380 b=8.4380 c=4.9023 alpha=106.75 beta=106.75 gamma=119.98
Sites, in units of the cell vectors:
Ho: 0.0000 0.0000 0.0000
Ho: 0.1693 0.8307 0.5000
Ho: 0.3417 0.6583 0.0000
Ho: 0.6583 0.3417 0.0000
Ho: 0.8307 0.1693 0.5000
Mg: 0.5000 0.5000 0.5000
Pd: 0.0813 0.4154 0.2489
Pd: 0.2391 0.2391 0.7364
Pd: 0.4154 0.0813 0.2489
Pd: 0.5846 0.9187 0.7511
Pd: 0.7609 0.7609 0.2636
Pd: 0.9187 0.5846 0.7511


Entry 3:
Entry from Alexandria via LeMat-Bulk: crystalline NdThSc2 at its relaxed geometry (PBE-GGA).

Results
Formation energy, eV per atom: 0.079
ΔE to the lowest computed polymorph, meV per atom: 56.3
DOS(E_F), states/eV per cell: 6.6

Unit cell a=11.3274 b=11.3274 c=11.3274 alpha=17.56 beta=17.56 gamma=17.56
Sites, in units of the cell vectors:
Nd: 0.0000 0.0000 0.0000
Th: 0.8335 0.8335 0.8335
Sc: 0.4172 0.4172 0.4172
Sc: 0.5829 0.5829 0.5829


Entry 4:
Entry from Alexandria via LeMat-Bulk: crystalline Tb3Nd7Y at its relaxed geometry (PBE-GGA).

Results
Formation energy, eV per atom: 0.227
ΔE to the lowest computed polymorph, meV per atom: 113.1
DOS(E_F), states/eV per cell: 15.7

Unit cell a=8.6013 b=8.6013 c=5.9381 alpha=110.18 beta=110.18 gamma=82.86
Sites, in units of the cell vectors:
Tb: 0.0000 0.0000 0.0000
Tb: 0.2050 0.7950 0.5000
Tb: 0.7950 0.2050 0.5000
Nd: 0.0127 0.5974 0.8053
Nd: 0.2087 0.2087 0.7073
Nd: 0.4026 0.9873 0.1947
Nd: 0.5000 0.5000 0.5000
Nd: 0.5974 0.0127 0.8053
Nd: 0.7913 0.7913 0.2927
Nd: 0.9873 0.4026 0.1947
Y: 0.5000 0.5000 0.0000


Entry 5:
Entry from Alexandria via LeMat-Bulk: crystalline Cd2Bi2Pb at its relaxed geometry (PBE-GGA).

Results
Formation energy, eV per atom: 0.070
ΔE to the lowest computed polymorph, meV per atom: 21.4
DOS(E_F), states/eV per cell: 4.6

Unit cell a=9.2388 b=9.2388 c=3.4938 alpha=90.00 beta=90.00 gamma=90.00
Sites, in units of the cell vectors:
Cd: 0.1193 0.3807 0.0000
Cd: 0.3807 0.8807 0.0000
Cd: 0.6193 0.1193 0.0000
Cd: 0.8807 0.6193 0.0000
Bi: 0.1797 0.6797 0.5000
Bi: 0.3203 0.1797 0.5000
Bi: 0.6797 0.8203 0.5000
Bi: 0.8203 0.3203 0.5000
Pb: 0.0000 0.0000 0.5000
Pb: 0.5000 0.5000 0.5000


Entry 6:
Entry from Alexandria via LeMat-Bulk: crystalline Mg2ZrCd at its relaxed geometry (PBE-GGA).

Results
Formation energy, eV per atom: 0.068
DOS(E_F), states/eV per cell: 3.1

Unit cell a=5.9425 b=5.9425 c=5.9425 alpha=146.11 beta=130.50 gamma=61.35
Sites, in units of the cell vectors:
Mg: 0.0000 0.0000 0.0000
Mg: 0.7468 0.2468 0.5000
Zr: 0.4865 0.4865 0.0000
Cd: 0.2338 0.7338 0.5000


Repeat the second record exactly.
Entry from Alexandria via LeMat-Bulk: crystalline Ho5MgPd6 at its relaxed geometry (PBE-GGA).

Results
Formation energy, eV per atom: -0.874
DOS(E_F), states/eV per cell: 6.1

Unit cell a=8.4380 b=8.4380 c=4.9023 alpha=106.75 beta=106.75 gamma=119.98
Sites, in units of the cell vectors:
Ho: 0.0000 0.0000 0.0000
Ho: 0.1693 0.8307 0.5000
Ho: 0.3417 0.6583 0.0000
Ho: 0.6583 0.3417 0.0000
Ho: 0.8307 0.1693 0.5000
Mg: 0.5000 0.5000 0.5000
Pd: 0.0813 0.4154 0.2489
Pd: 0.2391 0.2391 0.7364
Pd: 0.4154 0.0813 0.2489
Pd: 0.5846 0.9187 0.7511
Pd: 0.7609 0.7609 0.2636
Pd: 0.9187 0.5846 0.7511